# 1
CrAgBi2Rh: optimized geometry, GGA-PBE.

Properties
VASP energy = -4.31 eV per atom
Crystal system = tetragonal

Cell lengths 5.340, 4.912, 5.340 Å; angles 90.00, 90.00, 90.00 degrees
Last column: magnetic moment on the atom in μB.
Sites, in units of the cell vectors:
Bi (0.000, 0.000, 0.500)  -0.07
Bi (0.500, 0.000, 0.000)  -0.06
Rh (0.500, 0.500, 0.500)  0.27
Cr (0.000, 0.500, 0.000)  4.04
Ag (0.000, 0.000, 0.000)  0.09

=====

# 2
Ac3Sn5O12: optimized geometry, GGA-PBE.

Properties
Energy relative to the elements, uncorrected = -2.063 eV/atom
Crystal system = cubic

Cell lengths 12.069, 12.069, 12.069 Å; angles 109.47, 109.47, 109.47 degrees
Sites, in units of the cell vectors:
O (0.426, 0.122, 0.589)
O (0.663, 0.197, 0.574)
O (0.034, 0.622, 0.697)
O (0.034, 0.411, 0.837)
O (0.074, 0.911, 0.378)
O (0.697, 0.574, 0.163)
O (0.337, 0.534, 0.411)
O (0.803, 0.466, 0.378)
O (0.622, 0.589, 0.926)
O (0.303, 0.878, 0.966)
O (0.197, 0.534, 0.622)
O (0.697, 0.122, 0.034)
O (0.534, 0.337, 0.911)
O (0.197, 0.663, 0.074)
O (0.589, 0.622, 0.426)
O (0.878, 0.303, 0.466)
O (0.926, 0.089, 0.622)
O (0.074, 0.163, 0.197)
O (0.878, 0.574, 0.911)
O (0.163, 0.074, 0.697)
O (0.411, 0.034, 0.337)
O (0.303, 0.426, 0.837)
O (0.911, 0.074, 0.878)
O (0.122, 0.426, 0.089)
O (0.378, 0.411, 0.074)
O (0.966, 0.378, 0.303)
O (0.837, 0.926, 0.303)
O (0.378, 0.966, 0.803)
O (0.411, 0.378, 0.574)
O (0.622, 0.034, 0.197)
O (0.163, 0.089, 0.966)
O (0.911, 0.837, 0.534)
O (0.337, 0.803, 0.426)
O (0.803, 0.337, 0.926)
O (0.589, 0.966, 0.663)
O (0.837, 0.911, 0.034)
O (0.089, 0.163, 0.466)
O (0.534, 0.197, 0.122)
O (0.574, 0.697, 0.663)
O (0.966, 0.589, 0.163)
O (0.663, 0.466, 0.589)
O (0.122, 0.697, 0.534)
O (0.089, 0.926, 0.122)
O (0.926, 0.837, 0.803)
O (0.426, 0.303, 0.337)
O (0.466, 0.663, 0.089)
O (0.574, 0.878, 0.411)
O (0.466, 0.803, 0.878)
Ac (0.250, 0.625, 0.875)
Ac (0.125, 0.875, 0.750)
Ac (0.375, 0.625, 0.250)
Ac (0.875, 0.750, 0.125)
Ac (0.250, 0.125, 0.375)
Ac (0.875, 0.125, 0.250)
Ac (0.625, 0.250, 0.375)
Ac (0.125, 0.250, 0.875)
Ac (0.375, 0.750, 0.625)
Ac (0.750, 0.875, 0.625)
Ac (0.750, 0.375, 0.125)
Ac (0.625, 0.375, 0.750)
Sn (0.125, 0.750, 0.375)
Sn (0.000, 0.500, 0.500)
Sn (0.500, 0.500, 0.000)
Sn (0.375, 0.125, 0.750)
Sn (0.250, 0.375, 0.625)
Sn (0.875, 0.625, 0.750)
Sn (0.000, 0.000, 0.000)
Sn (0.625, 0.875, 0.250)
Sn (0.750, 0.625, 0.375)
Sn (0.125, 0.375, 0.250)
Sn (0.625, 0.750, 0.875)
Sn (0.375, 0.250, 0.125)
Sn (0.000, 0.500, 0.000)
Sn (0.500, 0.000, 0.000)
Sn (0.500, 0.500, 0.500)
Sn (0.250, 0.875, 0.125)
Sn (0.875, 0.250, 0.625)
Sn (0.500, 0.000, 0.500)
Sn (0.000, 0.000, 0.500)
Sn (0.750, 0.125, 0.875)

=====

# 3
RbGa3Tc: optimized geometry, GGA-PBE.

Properties
Excess energy over the best structure of this formula in the dataset = 79 meV/atom
Crystal system = triclinic

Cell lengths 5.095, 13.383, 4.700 Å; angles 107.61, 90.00, 90.02 degrees
Sites, in units of the cell vectors:
Ga (0.752, 0.561, 0.558)
Ga (0.734, 0.752, 0.455)
Ga (0.993, 0.774, 0.972)
Ga (0.493, 0.539, 0.040)
Ga (0.252, 0.752, 0.455)
Ga (0.234, 0.561, 0.558)
Rb (0.494, 0.995, 0.110)
Rb (0.993, 0.318, 0.909)
Tc (0.493, 0.723, 0.936)
Tc (0.993, 0.590, 0.077)

=====

# 4
ZrTl2: optimized geometry, GGA-PBE.

Properties
VASP energy = -4.39 eV per atom
Crystal system = orthorhombic

Cell lengths 4.373, 6.388, 10.418 Å; angles 90.00, 90.00, 90.00 degrees
Sites, in units of the cell vectors:
Zr (0.250, 0.616, 0.399)
Zr (0.750, 0.884, 0.899)
Zr (0.250, 0.116, 0.101)
Zr (0.750, 0.384, 0.601)
Tl (0.250, 0.129, 0.435)
Tl (0.750, 0.356, 0.266)
Tl (0.750, 0.371, 0.935)
Tl (0.750, 0.871, 0.565)
Tl (0.250, 0.144, 0.766)
Tl (0.250, 0.644, 0.734)
Tl (0.250, 0.629, 0.065)
Tl (0.750, 0.856, 0.234)

=====

# 5
Cs3TiAg: optimized geometry, GGA-PBE.

Properties
Excess energy over the best structure of this formula in the dataset = 0 meV/atom
Crystal system = cubic

Cell lengths 6.597, 6.597, 6.597 Å; angles 90.00, 90.00, 90.00 degrees
Last column: magnetic moment on the atom in μB.
Sites, in units of the cell vectors:
Ag (0.500, 0.500, 0.500)  0.00
Cs (0.500, 0.000, 0.000)  0.06
Cs (0.000, 0.000, 0.500)  0.08
Cs (0.000, 0.500, 0.000)  0.07
Ti (0.000, 0.000, 0.000)  2.29

=====

# 6
Cs4PuCl6: optimized geometry, GGA-PBE.

Properties
Energy relative to the elements, uncorrected = -1.882 eV/atom
Crystal system = tetragonal

Cell lengths 9.581, 9.581, 10.082 Å; angles 90.00, 90.00, 90.00 degrees
Last column: magnetic moment on the atom in μB.
Sites, in units of the cell vectors:
Cs (0.174, 0.674, 0.250)  0.00
Cs (0.174, 0.674, 0.750)  0.00
Cs (0.674, 0.826, 0.750)  0.00
Cs (0.826, 0.326, 0.750)  0.00
Cs (0.326, 0.174, 0.250)  0.00
Cs (0.826, 0.326, 0.250)  0.00
Cs (0.674, 0.826, 0.250)  0.00
Cs (0.326, 0.174, 0.750)  0.00
Cl (0.000, 0.000, 0.220)  -0.01
Cl (0.588, 0.212, 0.000)  -0.01
Cl (0.088, 0.288, 0.500)  -0.01
Cl (0.912, 0.712, 0.500)  -0.01
Cl (0.212, 0.412, 0.000)  -0.01
Cl (0.500, 0.500, 0.280)  -0.01
Cl (0.500, 0.500, 0.720)  -0.01
Cl (0.000, 0.000, 0.780)  -0.01
Cl (0.288, 0.912, 0.500)  -0.01
Cl (0.788, 0.588, 0.000)  -0.01
Cl (0.712, 0.088, 0.500)  -0.01
Cl (0.412, 0.788, 0.000)  -0.01
Pu (0.000, 0.000, 0.500)  5.74
Pu (0.500, 0.500, 0.000)  5.74

=====

# 7
CsKW2Cl: optimized geometry, GGA-PBE.

Properties
Energy relative to the elements, uncorrected = 2.512 eV/atom
Crystal system = tetragonal

Cell lengths 6.062, 11.355, 6.062 Å; angles 90.00, 90.00, 90.00 degrees
Last column: magnetic moment on the atom in μB.
Sites, in units of the cell vectors:
K (0.000, 0.000, 0.000)  0.11
W (0.500, 0.000, 0.000)  3.58
W (0.000, 0.000, 0.500)  3.50
Cl (0.500, 0.500, 0.500)  0.00
Cs (0.000, 0.500, 0.000)  0.00

=====

# 8
Ta3CrI: optimized geometry, GGA-PBE.

Properties
Excess energy over the best structure of this formula in the dataset = 0 meV/atom
Energy relative to the elements, uncorrected = 1.218 eV/atom
Crystal system = cubic

Cell lengths 4.728, 4.728, 4.728 Å; angles 90.00, 90.00, 90.00 degrees
Sites, in units of the cell vectors:
Ta (0.000, 0.500, 0.000)
Ta (0.000, 0.000, 0.500)
Ta (0.500, 0.000, 0.000)
I (0.500, 0.500, 0.500)
Cr (0.000, 0.000, 0.000)

=====

# 9
KMg2Se: optimized geometry, GGA-PBE.

Properties
Energy relative to the elements, uncorrected = -0.153 eV/atom
Crystal system = tetragonal

Cell lengths 5.420, 5.420, 5.420 Å; angles 119.88, 119.88, 90.21 degrees
Sites, in units of the cell vectors:
Mg (0.250, 0.750, 0.500)
Mg (0.000, 0.000, 0.000)
K (0.750, 0.250, 0.500)
Se (0.500, 0.500, 0.000)

=====

# 10
Co2HgMo: optimized geometry, GGA-PBE.

Properties
VASP energy = -5.86 eV per atom
Crystal system = tetragonal

Cell lengths 4.910, 4.910, 4.910 Å; angles 136.03, 136.04, 63.92 degrees
Sites, in units of the cell vectors:
Co (0.000, 0.000, 0.000)
Co (0.750, 0.250, 0.500)
Hg (0.500, 0.500, 0.000)
Mo (0.250, 0.750, 0.500)

=====

# 11
K3U2CdTe6: optimized geometry, GGA-PBE.

Properties
Energy relative to the elements, uncorrected = -0.794 eV/atom
Crystal system = monoclinic

Cell lengths 7.828, 7.828, 8.635 Å; angles 98.68, 98.68, 119.98 degrees
Last column: magnetic moment on the atom in μB.
Sites, in units of the cell vectors:
Te (0.596, 0.931, 0.792)  -0.06
Te (0.404, 0.069, 0.208)  -0.06
Te (0.266, 0.266, 0.793)  -0.06
Te (0.931, 0.596, 0.792)  -0.06
Te (0.069, 0.404, 0.208)  -0.06
Te (0.734, 0.734, 0.207)  -0.06
U (0.333, 0.667, 0.000)  2.54
U (0.667, 0.333, 0.000)  2.54
Cd (0.000, 0.000, 0.000)  0.02
K (0.165, 0.835, 0.500)  0.00
K (0.500, 0.500, 0.500)  0.00
K (0.835, 0.165, 0.500)  0.00

=====

# 12
CaPb5S6: optimized geometry, GGA-PBE.

Properties
Energy relative to the elements, uncorrected = -0.801 eV/atom
Crystal system = monoclinic

Cell lengths 7.299, 7.302, 7.299 Å; angles 59.98, 80.42, 70.56 degrees
Sites, in units of the cell vectors:
S (0.242, 0.597, 0.323)
S (0.247, 0.241, 0.000)
S (0.758, 0.403, 0.677)
S (0.242, 0.920, 0.677)
S (0.753, 0.759, 0.000)
S (0.758, 0.080, 0.323)
Pb (0.500, 0.166, 0.669)
Pb (0.000, 0.332, 0.336)
Pb (0.500, 0.500, 0.000)
Pb (0.500, 0.834, 0.331)
Pb (0.000, 0.668, 0.664)
Ca (0.000, 0.000, 0.000)